Below is an optimized crystal structure of CaY2As, with properties calculated at the PBE level.

```
CaY2As
1.0
-3.640 1.367 -1.685
-2.209 -1.633 3.447
-0.803 4.475 5.364
Y As Ca
2 1 1
Direct
0.000 0.085 0.033
0.000 0.415 0.467
0.500 0.250 0.250
0.500 0.750 0.750
```

Crystal system: monoclinic
Total energy (eV per atom): -5.36
Formation energy from the elements (meV/atom): -467
Calculated volume (A^3/atom): 29.8
Symmetry: No. 10


Below is an optimized crystal structure of YAg3Ge, with properties calculated at the PBE level.

```
YAg3Ge
1.0
5.391 0.000 0.000
0.000 5.391 0.000
0.000 0.000 5.391
Y Ge Ag
1 1 3
Direct
0.000 0.000 0.000
0.500 0.500 0.500
0.000 0.500 0.000
0.000 0.000 0.500
0.500 0.000 0.000
```

Relative energy among the computed polymorphs (meV/atom): 955
Crystal system: cubic
Total energy (eV per atom): -2.82
Formation energy from the elements (meV/atom): 1112
Calculated volume (A^3/atom): 31.3
Symmetry: No. 221


Below is an optimized crystal structure of CsKRuI6, with properties calculated at the PBE level.

```
CsKRuI6
1.0
-5.172 -5.278 4.376
2.819 -3.829 7.152
-2.379 5.587 3.928
Cs K Ru I
1 1 1 6
Direct
0.000 0.000 0.000
0.667 0.667 0.500
0.333 0.333 0.500
0.071 0.345 0.280
0.345 0.071 0.720
0.585 0.345 0.720
0.070 0.585 0.720
0.345 0.585 0.280
0.585 0.070 0.280
```

Crystal system: trigonal
Total energy (eV per atom): -2.89
Calculated volume (A^3/atom): 51.3
Symmetry: No. 149
Formation energy from raw total energies (kJ/mol of atoms): -58.64